{"formula": "La2CdOs", "functional": "PBE", "state": "relaxed", "lattice": [[7.054, -0.018, 0.041], [6.202, 3.361, 0.041], [1.720, 0.434, 4.638]], "species": ["Cd", "Os", "La", "La"], "frac_coords": [[0.183, 0.183, 0.317], [0.497, 0.497, 0.503], [0.008, 0.008, 0.992], [0.812, 0.812, 0.688]], "final_energy_ev_per_atom": -5.5406, "total_magnetization_mub_per_cell": 0.00, "delta_e_f_ev_per_atom": -0.041}